1.
# RbNbGe2O8 (PBE-GGA, relaxed)
# - size of the total moment (μB/cell) = 2.04
# - theoretical density (g/cm³) = 3.5
# - E_form (uncorrected) (meV/atom) = -1593.5
data_RbNbGe2O8
_symmetry_space_group_name_H-M 'P -3'
_symmetry_Int_Tables_number 147
_symmetry_space_group_name_Hall '-P 3'
_cell_length_a 5.6552
_cell_length_b 5.6552
_cell_length_c 7.7685
_cell_angle_alpha 90.00
_cell_angle_beta 90.00
_cell_angle_gamma 120.00
loop_
_atom_site_label
_atom_site_type_symbol
_atom_site_fract_x
_atom_site_fract_y
_atom_site_fract_z
Rb1 Rb 0.0000 0.0000 0.0000
Nb1 Nb 0.0000 0.0000 0.5000
Ge1 Ge 0.3333 0.6667 0.7229
O1 O 0.1562 0.3267 0.6518
O2 O 0.3333 0.6667 0.9519


2.
# La2CuOs (PBE-GGA, relaxed)
# - size of the total moment (μB/cell) = 0.00
# - theoretical density (g/cm³) = 9.6
# - DFT formation energy (eV per atom) = 0.04
data_La2CuOs
_symmetry_space_group_name_H-M 'I m m 2'
_symmetry_Int_Tables_number 44
_symmetry_space_group_name_Hall 'I 2 -2'
_cell_length_a 3.572
_cell_length_b 4.792
_cell_length_c 10.776
_cell_angle_alpha 90.00
_cell_angle_beta 90.00
_cell_angle_gamma 90.00
loop_
_atom_site_label
_atom_site_type_symbol
_atom_site_fract_x
_atom_site_fract_y
_atom_site_fract_z
La1 La 0.000 0.000 0.000
La2 La 0.000 0.500 0.201
Cu1 Cu 0.000 0.000 0.415
Os1 Os 0.000 0.500 0.745


3.
# LiPaNi6 (PBE-GGA, relaxed)
# - ΔE to the lowest computed polymorph (eV per atom) = 0.000
# - size of the total moment (μB/cell) = 0.00
# - theoretical density (g/cm³) = 9.7
# - DFT formation energy (eV per atom) = -0.26
data_LiPaNi6
_symmetry_space_group_name_H-M 'P 4/m m m'
_symmetry_Int_Tables_number 123
_symmetry_space_group_name_Hall '-P 4 2'
_cell_length_a 5.223
_cell_length_b 5.223
_cell_length_c 3.702
_cell_angle_alpha 90.00
_cell_angle_beta 90.00
_cell_angle_gamma 90.00
loop_
_atom_site_label
_atom_site_type_symbol
_atom_site_fract_x
_atom_site_fract_y
_atom_site_fract_z
Li1 Li 0.000 0.000 0.000
Pa1 Pa 0.500 0.500 0.000
Ni1 Ni 0.000 0.500 0.000
Ni2 Ni 0.239 0.239 0.500


4.
# KLiHg2 (PBE-GGA, relaxed)
# - ΔE to the lowest computed polymorph (eV per atom) = 0.108
# - size of the total moment (μB/cell) = 0.00
# - theoretical density (g/cm³) = 6.4
# - DFT formation energy (eV per atom) = -0.16
data_KLiHg2
_symmetry_space_group_name_H-M 'F m -3 m'
_symmetry_Int_Tables_number 225
_symmetry_space_group_name_Hall '-F 4 2 3'
_cell_length_a 7.735
_cell_length_b 7.735
_cell_length_c 7.735
_cell_angle_alpha 90.00
_cell_angle_beta 90.00
_cell_angle_gamma 90.00
loop_
_atom_site_label
_atom_site_type_symbol
_atom_site_fract_x
_atom_site_fract_y
_atom_site_fract_z
K1 K 0.000 0.000 0.000
Li1 Li 0.000 0.000 0.500
Hg1 Hg 0.250 0.250 0.250


5.
# CsK2Al (PBE-GGA, relaxed)
# - ΔE to the lowest computed polymorph (eV per atom) = 0.124
# - size of the total moment (μB/cell) = 1.88
# - theoretical density (g/cm³) = 1.7
# - DFT formation energy (eV per atom) = 0.30
data_CsK2Al
_symmetry_space_group_name_H-M 'I m m m'
_symmetry_Int_Tables_number 71
_symmetry_space_group_name_Hall '-I 2 2'
_cell_length_a 4.595
_cell_length_b 7.002
_cell_length_c 14.341
_cell_angle_alpha 90.00
_cell_angle_beta 90.00
_cell_angle_gamma 90.00
loop_
_atom_site_label
_atom_site_type_symbol
_atom_site_fract_x
_atom_site_fract_y
_atom_site_fract_z
Cs1 Cs 0.000 0.000 0.000
K1 K 0.000 0.500 0.193
Al1 Al 0.000 0.000 0.500


6.
# TcN2O2 (PBE-GGA, relaxed)
# - ΔE to the lowest computed polymorph (eV per atom) = 1.127
# - size of the total moment (μB/cell) = 1.45
# - theoretical density (g/cm³) = 6.0
# - E_form (uncorrected) (meV/atom) = 1926.5
data_TcN2O2
_symmetry_space_group_name_H-M 'P 4/m m m'
_symmetry_Int_Tables_number 123
_symmetry_space_group_name_Hall '-P 4 2'
_cell_length_a 3.576
_cell_length_b 3.576
_cell_length_c 3.417
_cell_angle_alpha 90.00
_cell_angle_beta 90.00
_cell_angle_gamma 90.00
loop_
_atom_site_label
_atom_site_type_symbol
_atom_site_fract_x
_atom_site_fract_y
_atom_site_fract_z
Tc1 Tc 0.000 0.000 0.000
N1 N 0.000 0.500 0.500
O1 O 0.500 0.500 0.000
O2 O 0.500 0.500 0.500


7.
# LaSc2AlO (PBE-GGA, relaxed)
# - size of the total moment (μB/cell) = 0.00
# - theoretical density (g/cm³) = 4.5
# - E_form (uncorrected) (meV/atom) = -1296.7
data_LaSc2AlO
_symmetry_space_group_name_H-M 'P 4/m m m'
_symmetry_Int_Tables_number 123
_symmetry_space_group_name_Hall '-P 4 2'
_cell_length_a 4.509
_cell_length_b 4.509
_cell_length_c 4.948
_cell_angle_alpha 90.00
_cell_angle_beta 90.00
_cell_angle_gamma 90.00
loop_
_atom_site_label
_atom_site_type_symbol
_atom_site_fract_x
_atom_site_fract_y
_atom_site_fract_z
La1 La 0.000 0.000 0.000
Sc1 Sc 0.000 0.500 0.500
Al1 Al 0.500 0.500 0.000
O1 O 0.000 0.000 0.500


8.
# LiCeTmGa (PBE-GGA, relaxed)
# - size of the total moment (μB/cell) = 2.98
# - theoretical density (g/cm³) = 6.8
# - DFT formation energy (eV per atom) = -0.22
data_LiCeTmGa
_symmetry_space_group_name_H-M 'F -4 3 m'
_symmetry_Int_Tables_number 216
_symmetry_space_group_name_Hall 'F -4 2 3'
_cell_length_a 7.205
_cell_length_b 7.205
_cell_length_c 7.205
_cell_angle_alpha 90.00
_cell_angle_beta 90.00
_cell_angle_gamma 90.00
loop_
_atom_site_label
_atom_site_type_symbol
_atom_site_fract_x
_atom_site_fract_y
_atom_site_fract_z
Li1 Li 0.000 0.000 0.000
Ce1 Ce 0.250 0.250 0.250
Tm1 Tm 0.250 0.250 0.750
Ga1 Ga 0.000 0.000 0.500